Computed, not measured: crystalline CaP4Os at its relaxed geometry at the PBE level of DFT.

- space-group type = F-43m
- mass density (g/cm3) = 6.20
- energy relative to the elements (meV per atom) = 582

a b c (Å): 5.1191 5.1191 5.1191
angles (deg): 60.00 60.00 60.00
Positions (direct):
1 Os 0.0000 0.0000 0.0000
2 P 0.8796 0.3735 0.3735
3 P 0.3735 0.3735 0.3735
4 P 0.3735 0.3735 0.8796
5 P 0.3735 0.8796 0.3735
6 Ca 0.7500 0.7500 0.7500

Computed, not measured: crystalline P7Os6 at its relaxed geometry at the PBE level of DFT.

- space-group type = R-3m
- mass density (g/cm3) = 12.45
- energy relative to the elements (meV per atom) = 655

a b c (Å): 9.2694 9.2694 9.2694
angles (deg): 30.43 30.43 30.43
Positions (direct):
1 Os 0.6832 0.6832 0.6832
2 Os 0.3168 0.3168 0.3168
3 Os 0.9371 0.9371 0.9371
4 Os 0.8222 0.8222 0.8222
5 Os 0.0629 0.0629 0.0629
6 Os 0.1778 0.1778 0.1778
7 P 0.5000 0.5000 0.5000
8 P 0.5784 0.5784 0.0953
9 P 0.4216 0.4216 0.9047
10 P 0.4216 0.9047 0.4216
11 P 0.9047 0.4216 0.4216
12 P 0.0953 0.5784 0.5784
13 P 0.5784 0.0953 0.5784

Computed, not measured: crystalline Ba3PaS6 at its relaxed geometry at the PBE level of DFT.

- space-group type = R-3c
- relative energy among the computed polymorphs (eV per atom) = 0.0000
- mass density (g/cm3) = 4.28

a b c (Å): 8.6531 8.6531 8.6531
angles (deg): 89.61 89.61 89.61
Positions (direct):
1 S 0.5773 0.4342 0.7878
2 S 0.0773 0.2878 0.9342
3 S 0.2878 0.9342 0.0773
4 S 0.7122 0.0658 0.9227
5 S 0.4342 0.7878 0.5773
6 S 0.5658 0.2122 0.4227
7 S 0.9342 0.0773 0.2878
8 S 0.2122 0.4227 0.5658
9 S 0.7878 0.5773 0.4342
10 S 0.4227 0.5658 0.2122
11 S 0.9227 0.7122 0.0658
12 S 0.0658 0.9227 0.7122
13 Ba 0.7500 0.3878 0.1122
14 Ba 0.8878 0.2500 0.6122
15 Ba 0.6122 0.8878 0.2500
16 Ba 0.3878 0.1122 0.7500
17 Ba 0.1122 0.7500 0.3878
18 Ba 0.2500 0.6122 0.8878
19 Pa 0.5000 0.5000 0.5000
20 Pa 0.0000 0.0000 0.0000

Computed, not measured: crystalline ReOs2W at its relaxed geometry at the PBE level of DFT.

- space-group type = P4mm
- relative energy among the computed polymorphs (eV per atom) = 0.1316
- mass density (g/cm3) = 20.76
- energy relative to the elements (meV per atom) = 120

a b c (Å): 2.7630 2.7630 7.8624
angles (deg): 90.00 90.00 90.00
Positions (direct):
1 W 0.5000 0.5000 0.7553
2 Re 0.0000 0.0000 0.4891
3 Os 0.5000 0.5000 0.2515
4 Os 0.0000 0.0000 0.0041

Computed, not measured: crystalline CaIrRh2 at its relaxed geometry at the PBE level of DFT.

- space-group type = Immm
- relative energy among the computed polymorphs (eV per atom) = 0.1496
- mass density (g/cm3) = 10.72
- energy relative to the elements (meV per atom) = 53

a b c (Å): 5.6950 5.6950 5.6950
angles (deg): 150.75 130.75 58.32
Positions (direct):
1 Ir 0.2500 0.7500 0.5000
2 Ca 0.7500 0.2500 0.5000
3 Rh 0.4734 0.4734 0.0000
4 Rh 0.0266 0.0266 0.0000

Computed, not measured: crystalline CrOsSe2 at its relaxed geometry at the PBE level of DFT.

- space-group type = Imm2
- relative energy among the computed polymorphs (eV per atom) = 0.4984
- mass density (g/cm3) = 10.02

a b c (Å): 5.5612 5.5612 5.5612
angles (deg): 148.09 132.64 58.24
Positions (direct):
1 Se 0.9786 0.9786 0.0000
2 Se 0.2631 0.7631 0.5000
3 Os 0.7734 0.2734 0.5000
4 Cr 0.4849 0.4849 0.0000

Computed, not measured: crystalline PrNd2Sm at its relaxed geometry at the PBE level of DFT.

- space-group type = R-3m
- relative energy among the computed polymorphs (eV per atom) = 0.1584
- mass density (g/cm3) = 6.79
- energy relative to the elements (meV per atom) = 171

a b c (Å): 3.5821 3.5821 12.9308
angles (deg): 82.04 82.04 60.00
Positions (direct):
1 Nd 0.9117 0.9117 0.2649
2 Nd 0.0883 0.0883 0.7351
3 Pr 0.5000 0.5000 0.5000
4 Sm 0.0000 0.0000 0.0000

Computed, not measured: crystalline HfCo2PdC at its relaxed geometry at the PBE level of DFT.

- space-group type = P4/mmm
- relative energy among the computed polymorphs (eV per atom) = 0.0000
- mass density (g/cm3) = 10.92
- energy relative to the elements (meV per atom) = -72

a b c (Å): 3.8689 4.2125 3.8689
angles (deg): 90.00 90.00 90.00
Positions (direct):
1 Co 0.5000 0.0000 0.0000
2 Co 0.0000 0.0000 0.5000
3 Pd 0.0000 0.5000 0.0000
4 Hf 0.5000 0.5000 0.5000
5 C 0.0000 0.0000 0.0000

Computed, not measured: crystalline NdCd at its relaxed geometry at the PBE level of DFT.

- space-group type = P2_1/m
- mass density (g/cm3) = 7.41
- energy relative to the elements (meV per atom) = -272

a b c (Å): 3.6434 4.9979 6.5726
angles (deg): 90.00 106.00 90.00
Positions (direct):
1 Cd 0.0687 0.7500 0.1383
2 Cd 0.9313 0.2500 0.8617
3 Nd 0.6598 0.2500 0.3212
4 Nd 0.3402 0.7500 0.6788

Computed, not measured: crystalline Ni7Pt3 at its relaxed geometry at the PBE level of DFT.

- space-group type = C2/m
- relative energy among the computed polymorphs (eV per atom) = 0.0000
- mass density (g/cm3) = 13.25
- energy relative to the elements (meV per atom) = -74

a b c (Å): 3.6832 5.2152 6.8901
angles (deg): 101.31 105.50 90.00
Positions (direct):
1 Pt 0.1965 0.6083 0.3929
2 Pt 0.0000 0.0000 0.0000
3 Pt 0.8035 0.3917 0.6071
4 Ni 0.8006 0.9006 0.6011
5 Ni 0.4007 0.1963 0.8015
6 Ni 0.5993 0.8037 0.1985
7 Ni 0.0000 0.5000 0.0000
8 Ni 0.1994 0.0994 0.3989
9 Ni 0.4021 0.6975 0.8042
10 Ni 0.5979 0.3025 0.1958

Computed, not measured: crystalline PrHo3Er2Se6 at its relaxed geometry at the PBE level of DFT.

- space-group type = C2/m
- mass density (g/cm3) = 8.29
- total DFT energy (no corrections) (eV per atom) = -5.778

a b c (Å): 7.0824 7.0824 7.0766
angles (deg): 99.54 99.54 120.23
Positions (direct):
1 Se 0.7366 0.7366 0.2499
2 Se 0.5670 0.9150 0.7428
3 Se 0.4330 0.0850 0.2572
4 Se 0.0850 0.4330 0.2572
5 Se 0.9150 0.5670 0.7428
6 Se 0.2634 0.2634 0.7501
7 Pr 0.0000 0.0000 0.0000
8 Ho 0.8431 0.1569 0.5000
9 Ho 0.1569 0.8431 0.5000
10 Ho 0.5000 0.5000 0.5000
11 Er 0.6650 0.3350 0.0000
12 Er 0.3350 0.6650 0.0000

Computed, not measured: crystalline Pm2Cu3Ag at its relaxed geometry at the PBE level of DFT.

- space-group type = Fmmm
- relative energy among the computed polymorphs (eV per atom) = 0.0000
- mass density (g/cm3) = 7.85
- energy relative to the elements (meV per atom) = -212

a b c (Å): 5.7576 5.7576 8.4743
angles (deg): 106.18 106.18 100.35
Positions (direct):
1 Pm 0.2470 0.2470 0.0000
2 Pm 0.7500 0.2500 0.5000
3 Pm 0.7530 0.7530 0.0000
4 Pm 0.2500 0.7500 0.5000
5 Cu 0.8388 0.3233 0.1621
6 Cu 0.3233 0.8388 0.1621
7 Cu 0.8382 0.8382 0.6764
8 Cu 0.6767 0.1612 0.8379
9 Cu 0.1618 0.1618 0.3236
10 Cu 0.1612 0.6767 0.8379
11 Ag 0.3336 0.3336 0.6673
12 Ag 0.6664 0.6664 0.3327

Question: Among the records above, which one has the lowest mass density?
Answer: Ba3PaS6